# 1
Here is Cu3ReW after structural relaxation from the Alexandria database. Energies are from PBE-GGA.

Properties
V: 90.5 Å³/cell
ΔH_f (0 K): 2.19 eV per atom
Energy above the lowest structure with this stoichiometry: 0.0 meV per atom
Total magnetization: 0.0 μB per formula unit

Unit cell a=4.489 b=4.489 c=4.489 alpha=90.00 beta=90.00 gamma=90.00
Space group Pm-3m (No. 221)
Unique sites:
Cu 0.000 0.000 0.500
Re 0.000 0.000 0.000
W 0.500 0.500 0.500

=====

# 2
Here is TcSnIrOsS after structural relaxation from the Alexandria database. Energies are from PBE-GGA.

Properties
Uncorrected formation energy: 0.11 eV per atom
V: 175.0 Å³/cell
Energy above the lowest structure with this stoichiometry: 41.4 meV per atom
Total magnetization: 0.0 μB per formula unit

Unit cell a=13.418 b=2.917 c=4.744 alpha=90.00 beta=109.52 gamma=90.00
Space group Cm (No. 8)
Unique sites:
Tc 0.000 0.000 0.000
Sn 0.171 0.000 0.512
Ir 0.175 0.500 0.004
Os 0.478 0.000 0.524
S 0.362 0.500 0.196

=====

# 3
Here is Ca2BAsO8 after structural relaxation from the Alexandria database. Energies are from PBE-GGA.

Properties
Uncorrected formation energy: -1.67 eV per atom
V: 325.0 Å³/cell
Total magnetization: 4.0 μB per formula unit

Unit cell a=7.166 b=7.166 c=6.329 alpha=90.00 beta=90.00 gamma=90.00
Space group I-4 (No. 82)
Unique sites:
Ca 0.000 0.000 0.000
Ca 0.000 0.500 0.250
B 0.000 0.000 0.500
As 0.000 0.500 0.750
O 0.001 0.165 0.368
O 0.001 0.315 0.923

=====

# 4
Here is Al5HO8 after structural relaxation from the Alexandria database. Energies are from PBE-GGA.

Properties
V: 250.5 Å³/cell
Energy above the lowest structure with this stoichiometry: 229.6 meV per atom
Total magnetization: 0.0 μB per formula unit

Unit cell a=5.7455 b=5.7455 c=8.7610 alpha=90.00 beta=90.00 gamma=120.00
Space group P6_3mc (No. 186)
Unique sites:
Al 0.1736 0.3473 0.0000
Al 0.3333 0.6667 0.2960
Al 0.3333 0.6667 0.6682
H 0.0000 0.0000 0.4818
O 0.0000 0.0000 0.0990
O 0.0333 0.5166 0.1352
O 0.1704 0.3409 0.4016
O 0.3333 0.6667 0.8825

=====

# 5
Here is Hf5Al2In after structural relaxation from the Alexandria database. Energies are from PBE-GGA.

Properties
V: 665.2 Å³/cell
ΔH_f (0 K): -0.21 eV per atom
Total magnetization: 0.0 μB per formula unit

Unit cell a=7.353 b=7.353 c=12.301 alpha=90.00 beta=90.00 gamma=90.00
Space group I4/mcm (No. 140)
Unique sites:
Hf 0.000 0.000 0.000
Hf 0.154 0.346 0.153
Al 0.137 0.363 0.500
In 0.000 0.000 0.250

=====

# 6
Here is CrFe2Ru after structural relaxation from the Alexandria database. Energies are from PBE-GGA.

Properties
V: 97.2 Å³/cell
ΔH_f (0 K): 0.16 eV per atom
Total magnetization: 2.1 μB per formula unit

Unit cell a=8.522 b=2.620 c=4.436 alpha=90.00 beta=100.94 gamma=90.00
Space group C2/m (No. 12)
Unique sites:
Cr 0.000 0.000 0.000
Fe 0.248 0.500 0.246
Ru 0.000 0.500 0.500

=====

# 7
Here is RbCl4 after structural relaxation from the Alexandria database. Energies are from PBE-GGA.

Properties
Uncorrected formation energy: -0.70 eV per atom
V: 640.7 Å³/cell
Energy above the lowest structure with this stoichiometry: 48.1 meV per atom
Total magnetization: 0.0 μB per formula unit

Unit cell a=7.612 b=7.612 c=11.059 alpha=90.00 beta=90.00 gamma=90.00
Space group I4/mmm (No. 139)
Unique sites:
Rb 0.000 0.500 0.250
Cl 0.000 0.000 0.000
Cl 0.000 0.000 0.208
Cl 0.000 0.000 0.500
Cl 0.217 0.217 0.500

=====

# 8
Here is BaCa2Er after structural relaxation from the Alexandria database. Energies are from PBE-GGA.

Properties
V: 504.7 Å³/cell
ΔH_f (0 K): 0.33 eV per atom
Energy above the lowest structure with this stoichiometry: 202.4 meV per atom
Total magnetization: 0.7 μB per formula unit

Unit cell a=3.7490 b=3.7490 c=41.4603 alpha=90.00 beta=90.00 gamma=120.00
Space group R-3m (No. 166, hexagonal axes)
Unique sites:
Ba 0.0000 0.0000 0.0000
Ca 0.0000 0.0000 0.4175
Er 0.0000 0.0000 0.5000

=====

# 9
Here is NdGa9Ni3 after structural relaxation from the Alexandria database. Energies are from PBE-GGA.

Properties
V: 412.7 Å³/cell
ΔH_f (0 K): -0.34 eV per atom
Total magnetization: 0.0 μB per formula unit

Unit cell a=5.269 b=12.609 c=6.653 alpha=90.00 beta=110.99 gamma=90.00
Space group C2/m (No. 12)
Unique sites:
Nd 0.000 0.000 0.000
Ga 0.000 0.000 0.500
Ga 0.090 0.389 0.212
Ga 0.171 0.180 0.336
Ni 0.000 0.500 0.500
Ni 0.250 0.250 0.000

=====

# 10
Here is TbSmDyZr after structural relaxation from the Alexandria database. Energies are from PBE-GGA.

Properties
V: 476.6 Å³/cell
ΔH_f (0 K): 0.23 eV per atom
Total magnetization: 2.0 μB per formula unit

Unit cell a=7.811 b=7.811 c=7.811 alpha=90.00 beta=90.00 gamma=90.00
Space group F-43m (No. 216)
Unique sites:
Tb 0.000 0.000 0.000
Sm 0.250 0.250 0.250
Dy 0.000 0.000 0.500
Zr 0.250 0.250 0.750

=====

# 11
Here is Er5Sn2C after structural relaxation from the Alexandria database. Energies are from PBE-GGA.

Properties
V: 983.1 Å³/cell
ΔH_f (0 K): -0.08 eV per atom
Total magnetization: 1.0 μB per formula unit

Unit cell a=5.112 b=15.920 c=12.081 alpha=90.00 beta=90.00 gamma=90.00
Space group Cmcm (No. 63)
Unique sites:
Er 0.000 0.075 0.115
Er 0.000 0.282 0.086
Er 0.000 0.305 0.750
Sn 0.000 0.123 0.626
C 0.000 0.181 0.250

=====

# 12
Here is HfNbN2O after structural relaxation from the Alexandria database. Energies are from PBE-GGA.

Properties
Uncorrected formation energy: -0.40 eV per atom
V: 67.8 Å³/cell
Total magnetization: 1.1 μB per formula unit

Unit cell a=4.155 b=4.155 c=3.926 alpha=90.00 beta=90.00 gamma=90.00
Space group P4/mmm (No. 123)
Unique sites:
Hf 0.000 0.000 0.000
Nb 0.500 0.500 0.500
N 0.000 0.500 0.000
O 0.000 0.000 0.500

=====

# 13
Here is SrYS2 after structural relaxation from the Alexandria database. Energies are from PBE-GGA.

Properties
Uncorrected formation energy: -2.04 eV per atom
V: 191.9 Å³/cell
Energy above the lowest structure with this stoichiometry: 0.0 meV per atom
Total magnetization: 0.0 μB per formula unit

Unit cell a=6.996 b=4.039 c=7.177 alpha=90.00 beta=108.86 gamma=90.00
Space group C2/m (No. 12)
Unique sites:
Sr 0.000 0.000 0.000
Y 0.000 0.500 0.500
S 0.243 0.000 0.730

=====

# 14
Here is Na3AlTc after structural relaxation from the Alexandria database. Energies are from PBE-GGA.

Properties
V: 183.6 Å³/cell
ΔH_f (0 K): 1.39 eV per atom
Energy above the lowest structure with this stoichiometry: 21.7 meV per atom
Total magnetization: 3.4 μB per formula unit

Unit cell a=5.684 b=5.684 c=5.684 alpha=90.00 beta=90.00 gamma=90.00
Space group Pm-3m (No. 221)
Unique sites:
Na 0.000 0.000 0.500
Al 0.500 0.500 0.500
Tc 0.000 0.000 0.000

=====

# 15
Here is YAlHg2 after structural relaxation from the Alexandria database. Energies are from PBE-GGA.

Properties
V: 93.8 Å³/cell
ΔH_f (0 K): -0.25 eV per atom
Total magnetization: 0.0 μB per formula unit

Unit cell a=3.388 b=4.753 c=5.828 alpha=90.00 beta=90.00 gamma=90.00
Space group Pmm2 (No. 25)
Unique sites:
Y 0.000 0.000 0.000
Al 0.500 0.500 0.752
Hg 0.500 0.000 0.521
Hg 0.500 0.500 0.232

=====

# 16
Here is LaGa2SiRh2 after structural relaxation from the Alexandria database. Energies are from PBE-GGA.

Properties
Uncorrected formation energy: -0.59 eV per atom
V: 117.1 Å³/cell
Total magnetization: 0.0 μB per formula unit

Unit cell a=4.526 b=4.526 c=5.718 alpha=90.00 beta=90.00 gamma=90.00
Space group P4/mmm (No. 123)
Unique sites:
La 0.000 0.000 0.000
Ga 0.500 0.500 0.241
Si 0.000 0.000 0.500
Rh 0.000 0.500 0.500

=====

# 17
Here is K4Pm3TiO8 after structural relaxation from the Alexandria database. Energies are from PBE-GGA.

Properties
Uncorrected formation energy: -2.49 eV per atom
V: 796.2 Å³/cell
Total magnetization: 1.0 μB per formula unit

Unit cell a=7.0022 b=7.0022 c=18.7499 alpha=90.00 beta=90.00 gamma=120.00
Space group R-3m (No. 166, hexagonal axes)
Unique sites:
K 0.0000 0.0000 0.0000
K 0.0000 0.5000 0.0000
Pm 0.0000 0.5000 0.5000
Ti 0.0000 0.0000 0.5000
O 0.0000 0.0000 0.2318
O 0.0244 0.5122 0.2274

=====

# 18
Here is Cs3Tm2InSe6 after structural relaxation from the Alexandria database. Energies are from PBE-GGA.

Properties
Uncorrected formation energy: -1.39 eV per atom
V: 771.5 Å³/cell
Total magnetization: 0.0 μB per formula unit

Unit cell a=7.299 b=12.639 c=8.711 alpha=90.00 beta=106.24 gamma=90.00
Space group C2/m (No. 12)
Unique sites:
Cs 0.000 0.000 0.000
Cs 0.000 0.332 0.000
Tm 0.000 0.167 0.500
In 0.000 0.500 0.500
Se 0.226 0.335 0.682
Se 0.230 0.000 0.683

=====

# 19
Here is KTaTc2 after structural relaxation from the Alexandria database. Energies are from PBE-GGA.

Properties
V: 96.1 Å³/cell
ΔH_f (0 K): 0.69 eV per atom
Energy above the lowest structure with this stoichiometry: 131.3 meV per atom
Total magnetization: 0.0 μB per formula unit

Unit cell a=2.991 b=4.103 c=7.828 alpha=90.00 beta=91.44 gamma=90.00
Space group P2/m (No. 10)
Unique sites:
K 0.000 0.000 0.000
Ta 0.000 0.000 0.500
Tc 0.491 0.500 0.356

=====

# 20
Here is HoThPtAu after structural relaxation from the Alexandria database. Energies are from PBE-GGA.

Properties
V: 377.2 Å³/cell
ΔH_f (0 K): -0.90 eV per atom
Energy above the lowest structure with this stoichiometry: 152.0 meV per atom
Total magnetization: 0.0 μB per formula unit

Unit cell a=7.225 b=7.225 c=7.225 alpha=90.00 beta=90.00 gamma=90.00
Space group F-43m (No. 216)
Unique sites:
Ho 0.000 0.000 0.000
Th 0.000 0.000 0.500
Pt 0.250 0.250 0.750
Au 0.250 0.250 0.250

=====

Calculated electronic total energy in order - -5.35, -7.61, -6.25, -6.98, -7.70, -8.80, -2.37, -2.29, -4.13, -5.39, -5.09, -8.73, -6.14, -2.22, -2.95, -5.78, -6.63, -4.32, -7.73, -6.23 eV per atom